1.
Material: La15Tb4Nd
Method: DFT, PBE
State: optimized geometry Values from VASP.

- energy relative to the elements (kJ per mole of atoms) = 1
- calculated total energy (eV/cell) = -97.00
- space-group type = P4/mmm

Quantum ESPRESSO input file:
```
&SYSTEM
  ibrav = 0, nat = 20, ntyp = 3
/
ATOMIC_SPECIES
La 138.91 La.upf
Tb 158.93 Tb.upf
Nd 144.24 Nd.upf
ATOMIC_POSITIONS crystal
La 0.000 0.000 0.000
La 0.000 0.000 0.201
La 0.000 0.000 0.400
La 0.000 0.000 0.600
La 0.000 0.000 0.799
La 0.000 0.500 0.101
La 0.000 0.500 0.301
La 0.000 0.500 0.500
La 0.000 0.500 0.699
La 0.000 0.500 0.899
La 0.500 0.000 0.101
La 0.500 0.000 0.301
La 0.500 0.000 0.500
La 0.500 0.000 0.699
La 0.500 0.000 0.899
Tb 0.500 0.500 0.201
Tb 0.500 0.500 0.400
Tb 0.500 0.500 0.600
Tb 0.500 0.500 0.799
Nd 0.500 0.500 0.000
CELL_PARAMETERS angstrom
5.221 0.000 0.000
0.000 5.221 0.000
0.000 0.000 26.147
```

=====

2.
Material: La3TbNd4
Method: DFT, PBE
State: optimized geometry Values from VASP.

- energy relative to the elements (kJ per mole of atoms) = 0
- energy above the most stable polymorph in this dataset (meV per atom) = 0
- calculated total energy (eV/cell) = -76.96
- space-group type = C2/m

Quantum ESPRESSO input file:
```
&SYSTEM
  ibrav = 0, nat = 16, ntyp = 3
/
ATOMIC_SPECIES
La 138.91 La.upf
Tb 158.93 Tb.upf
Nd 144.24 Nd.upf
ATOMIC_POSITIONS crystal
La 0.000 0.000 0.000
La 0.250 0.000 0.250
La 0.250 0.500 0.750
La 0.500 0.500 0.000
La 0.750 0.000 0.750
La 0.750 0.500 0.250
Tb 0.000 0.500 0.500
Tb 0.500 0.000 0.500
Nd 0.124 0.000 0.791
Nd 0.124 0.500 0.292
Nd 0.376 0.000 0.708
Nd 0.376 0.500 0.209
Nd 0.624 0.000 0.292
Nd 0.624 0.500 0.791
Nd 0.876 0.000 0.209
Nd 0.876 0.500 0.708
CELL_PARAMETERS angstrom
24.656 0.000 0.000
0.000 3.712 0.000
-1.661 0.000 6.197
```

=====

3.
Material: La4Tb2Nd3
Method: DFT, PBE
State: optimized geometry Values from VASP.

- energy relative to the elements (kJ per mole of atoms) = 2
- calculated total energy (eV/cell) = -43.10
- space-group type = C2/m

Quantum ESPRESSO input file:
```
&SYSTEM
  ibrav = 0, nat = 9, ntyp = 3
/
ATOMIC_SPECIES
La 138.91 La.upf
Tb 158.93 Tb.upf
Nd 144.24 Nd.upf
ATOMIC_POSITIONS crystal
La 0.055 0.055 0.330
La 0.277 0.277 0.669
La 0.723 0.723 0.331
La 0.945 0.945 0.670
Tb 0.168 0.168 0.999
Tb 0.832 0.832 0.001
Nd 0.388 0.388 0.330
Nd 0.500 0.500 0.000
Nd 0.612 0.612 0.670
CELL_PARAMETERS angstrom
7.811 -2.617 0.000
7.811 2.617 0.000
-2.586 0.000 7.780
```

=====

4.
Material: LaTb6Nd4
Method: DFT, PBE
State: optimized geometry Values from VASP.

- energy relative to the elements (kJ per mole of atoms) = 14
- calculated total energy (eV/cell) = -50.17
- space-group type = P-6m2

Quantum ESPRESSO input file:
```
&SYSTEM
  ibrav = 0, nat = 11, ntyp = 3
/
ATOMIC_SPECIES
La 138.91 La.upf
Tb 158.93 Tb.upf
Nd 144.24 Nd.upf
ATOMIC_POSITIONS crystal
La 0.000 0.000 0.000
Tb 0.007 0.503 0.000
Tb 0.171 0.341 0.500
Tb 0.171 0.829 0.500
Tb 0.497 0.503 0.000
Tb 0.497 0.993 0.000
Tb 0.659 0.829 0.500
Nd 0.333 0.667 0.000
Nd 0.395 0.198 0.500
Nd 0.802 0.198 0.500
Nd 0.802 0.605 0.500
CELL_PARAMETERS angstrom
11.118 0.000 0.000
-5.559 9.628 0.000
0.000 0.000 3.569
```

=====

5.
Material: La5Tb6Nd
Method: DFT, PBE
State: optimized geometry Values from VASP.

- energy relative to the elements (kJ per mole of atoms) = 2
- energy above the most stable polymorph in this dataset (meV per atom) = 10
- calculated total energy (eV/cell) = -56.95
- space-group type = Immm

Quantum ESPRESSO input file:
```
&SYSTEM
  ibrav = 0, nat = 12, ntyp = 3
/
ATOMIC_SPECIES
La 138.91 La.upf
Tb 158.93 Tb.upf
Nd 144.24 Nd.upf
ATOMIC_POSITIONS crystal
La 0.000 0.000 0.000
La 0.167 0.667 0.500
La 0.334 0.334 0.000
La 0.666 0.666 0.000
La 0.833 0.333 0.500
Tb 0.084 0.834 0.250
Tb 0.251 0.500 0.751
Tb 0.417 0.166 0.250
Tb 0.583 0.834 0.750
Tb 0.749 0.500 0.249
Tb 0.916 0.166 0.750
Nd 0.500 0.000 0.500
CELL_PARAMETERS angstrom
-2.613 5.055 7.792
2.613 -5.055 7.792
2.613 5.055 -7.792
```

=====

6.
Material: La5Tb5Nd2
Method: DFT, PBE
State: optimized geometry Values from VASP.

- energy relative to the elements (kJ per mole of atoms) = 2
- calculated total energy (eV/cell) = -57.05
- space-group type = C2/m

Quantum ESPRESSO input file:
```
&SYSTEM
  ibrav = 0, nat = 12, ntyp = 3
/
ATOMIC_SPECIES
La 138.91 La.upf
Tb 158.93 Tb.upf
Nd 144.24 Nd.upf
ATOMIC_POSITIONS crystal
La 0.000 0.000 0.000
La 0.082 0.082 0.751
La 0.249 0.249 0.249
La 0.751 0.751 0.751
La 0.918 0.918 0.249
Tb 0.333 0.333 0.000
Tb 0.416 0.416 0.749
Tb 0.500 0.500 0.500
Tb 0.584 0.584 0.251
Tb 0.667 0.667 0.000
Nd 0.166 0.166 0.500
Nd 0.834 0.834 0.500
CELL_PARAMETERS angstrom
7.798 -2.583 0.000
7.798 2.583 0.000
-5.210 0.000 10.313
```